No. 1
The following is a PBE calculation of a relaxed PrAl2Pt5 crystal, from Alexandria.

a = 3.9495 Å, b = 6.4752 Å, c = 6.4752 Å
α = 66.91°, β = 72.24°, γ = 72.24°
With the nearest neighbours (Å) after each atom.
Atoms (fractional coordinates):
Pt 0.6445 0.1567 0.5543  3 Al 2.43-2.62
Pt 0.6445 0.5543 0.1567  3 Al 2.43-2.62
Pt 0.3555 0.8433 0.4457  3 Al 2.43-2.62
Pt 0.0000 0.5000 0.5000  2 Al 2.44
Pt 0.3555 0.4457 0.8433  3 Al 2.43-2.62
Pr 0.0000 0.0000 0.0000  4 Al 3.26, 10 Pt 3.26-3.57
Al 0.7576 0.7424 0.7424  7 Pt 2.43-2.62
Al 0.2424 0.2576 0.2576  7 Pt 2.43-2.62

Calculated values
DFT formation energy = -944 meV/atom

---

No. 2
The following is a PBE calculation of a relaxed IrBr2 crystal, from Alexandria.

a = 5.5138 Å, b = 5.5138 Å, c = 5.5138 Å
α = 107.70°, β = 107.70°, γ = 113.08°
With the nearest neighbours (Å) after each atom.
Atoms (fractional coordinates):
Br 0.7151 0.2151 0.9302  4 Ir 2.78, 2 Br 3.11
Ir 0.2500 0.2500 0.0000  8 Br 2.78, 2 Ir 3.04
Br 0.2151 0.2849 0.5000  4 Ir 2.78, 2 Br 3.11
Br 0.2849 0.7849 0.0698  4 Ir 2.78, 2 Br 3.11
Ir 0.7500 0.7500 0.0000  8 Br 2.78, 2 Ir 3.04
Br 0.7849 0.7151 0.5000  4 Ir 2.78, 2 Br 3.11

Calculated values
formation energy (no corrections) = 642 meV/atom

---

No. 3
The following is a PBE calculation of a relaxed InSb3Au4 crystal, from Alexandria.

a = 4.2091 Å, b = 6.9629 Å, c = 6.9629 Å
α = 68.42°, β = 90.21°, γ = 90.21°
With the nearest neighbours (Å) after each atom.
Atoms (fractional coordinates):
Au 0.5000 0.7520 0.2517  5 Sb 2.86-2.88, 1 In 2.90
Sb 0.0002 0.5001 0.4999  6 Au 2.87-2.88
Au 0.0000 0.2499 0.2502  4 Sb 2.87-2.88, 2 In 2.87
Au 0.9999 0.7503 0.7498  4 Sb 2.87-2.88, 2 In 2.88
Au 0.4999 0.2484 0.7481  5 Sb 2.86-2.88, 1 In 2.90
Sb 0.5000 0.0001 0.5000  6 Au 2.86-2.87
In 0.4999 0.5000 0.0001  6 Au 2.87-2.90
Sb 0.9997 0.0001 0.0000  6 Au 2.87-2.88

Calculated values
formation energy (no corrections) = -75 meV/atom

---

No. 4
The following is a PBE calculation of a relaxed Pm3Tl4GaS8 crystal, from Alexandria.

a = 8.1069 Å, b = 8.8431 Å, c = 8.1066 Å
α = 117.28°, β = 120.00°, γ = 90.00°
With the nearest neighbours (Å) after each atom.
Atoms (fractional coordinates):
S 0.7560 0.6944 0.9752  1 Ga 2.61, 2 Pm 2.83-2.84
S 0.7808 0.3056 0.0248  1 Ga 2.61, 2 Pm 2.83-2.84
S 0.2192 0.6944 0.9752  1 Ga 2.61, 2 Pm 2.83-2.84
Tl 0.0000 0.0000 0.0000  6 S 3.22
Tl 0.5000 0.0000 0.0000  6 S 3.40
Pm 0.5000 0.5000 0.0000  6 S 2.80-2.84
Pm 0.0000 0.5000 0.5000  6 S 2.80-2.83
Tl 0.5000 0.0000 0.5000  6 S 3.22
S 0.2193 0.6945 0.4386  1 Ga 2.61, 2 Pm 2.83
S 0.2440 0.3056 0.0248  1 Ga 2.61, 2 Pm 2.83-2.84
Pm 0.5000 0.5000 0.5000  6 S 2.80-2.83
S 0.2648 0.2945 0.5297  3 Pm 2.80
S 0.7352 0.7055 0.4703  3 Pm 2.80
S 0.7807 0.3055 0.5614  1 Ga 2.61, 2 Pm 2.83
Tl 0.0000 0.0000 0.5000  6 S 3.22
Ga 0.0000 0.5000 0.0000  6 S 2.61

Calculated values
formation energy (no corrections) = -1158 meV/atom

---

No. 5
The following is a PBE calculation of a relaxed TlInSe2 crystal, from Alexandria.

a = 5.2077 Å, b = 5.2077 Å, c = 5.2077 Å
α = 60.00°, β = 60.00°, γ = 60.00°
With the nearest neighbours (Å) after each atom.
Atoms (fractional coordinates):
Se 0.7500 0.7500 0.7500  4 In 3.19, 4 Tl 3.19
Tl 0.5000 0.5000 0.5000  8 Se 3.19
In 0.0000 0.0000 0.0000  8 Se 3.19
Se 0.2500 0.2500 0.2500  4 In 3.19, 4 Tl 3.19

Calculated values
formation energy (no corrections) = -136 meV/atom

---

No. 6
The following is a PBE calculation of a relaxed HfInRu2 crystal, from Alexandria.

a = 4.2201 Å, b = 4.2201 Å, c = 9.3265 Å
α = 76.92°, β = 76.92°, γ = 90.00°
With the nearest neighbours (Å) after each atom.
Atoms (fractional coordinates):
In 0.5000 0.5000 0.0000  4 Ru 2.78, 4 Hf 2.98
Ru 0.8750 0.9352 0.7500  2 Hf 2.58, 2 Ru 2.65, 2 In 2.78
Hf 0.0000 0.0000 0.0000  4 Ru 2.58
In 0.2500 0.7500 0.5000  4 Ru 2.78, 4 Hf 2.98
Hf 0.7500 0.2500 0.5000  4 Ru 2.58
Ru 0.0648 0.6250 0.2500  2 Hf 2.58, 2 Ru 2.65, 2 In 2.78
Ru 0.6852 0.1250 0.2500  2 Hf 2.58, 2 Ru 2.65, 2 In 2.78
Ru 0.3750 0.3148 0.7500  2 Hf 2.58, 2 Ru 2.65, 2 In 2.78

Calculated values
DFT formation energy = 404 meV/atom

---

No. 7
The following is a PBE calculation of a relaxed Pm2ThSi3Pt12 crystal, from Alexandria.

a = 7.8113 Å, b = 7.8113 Å, c = 7.8113 Å
α = 64.14°, β = 64.14°, γ = 64.14°
With the nearest neighbours (Å) after each atom.
Atoms (fractional coordinates):
Si 0.0000 0.0000 0.5000  6 Pt 2.36-2.40
Pm 0.5955 0.5955 0.5955  6 Pt 2.88-2.93
Th 0.0000 0.0000 0.0000  6 Pt 2.76
Pt 0.6511 0.1010 0.6511  2 Si 2.36
Pt 0.8520 0.8520 0.4101  1 Si 2.40
Pt 0.8990 0.3489 0.3489  2 Si 2.36
Pt 0.5899 0.1480 0.1480  1 Si 2.40
Pt 0.3489 0.3489 0.8990  2 Si 2.36
Pm 0.4045 0.4045 0.4045  6 Pt 2.88-2.93
Pt 0.8520 0.4101 0.8520  1 Si 2.40
Si 0.0000 0.5000 0.0000  6 Pt 2.36-2.40
Pt 0.1480 0.1480 0.5899  1 Si 2.40
Pt 0.1480 0.5899 0.1480  1 Si 2.40
Pt 0.3489 0.8990 0.3489  2 Si 2.36
Pt 0.4101 0.8520 0.8520  1 Si 2.40
Pt 0.6511 0.6511 0.1010  2 Si 2.36
Si 0.5000 0.0000 0.0000  6 Pt 2.36-2.40
Pt 0.1010 0.6511 0.6511  2 Si 2.36

Calculated values
formation energy (no corrections) = -582 meV/atom

---

No. 8
The following is a PBE calculation of a relaxed Ce2MgGe3Pt4 crystal, from Alexandria.

a = 4.2517 Å, b = 4.2517 Å, c = 10.7585 Å
α = 90.00°, β = 90.00°, γ = 90.00°
With the nearest neighbours (Å) after each atom.
Atoms (fractional coordinates):
Ge 0.0000 0.0000 0.5000  4 Pt 2.62
Ce 0.5000 0.0000 0.2443  8 Pt 3.25-3.38, 6 Ge 3.25-3.48, 2 Mg 3.48
Mg 0.5000 0.5000 0.5000  4 Pt 2.62
Pt 0.5000 0.5000 0.0000  4 Ge 2.54
Ge 0.0000 0.5000 0.1299  5 Pt 2.45-2.54
Pt 0.5000 0.0000 0.6420  3 Ge 2.45-2.62, 2 Mg 2.62
Ge 0.5000 0.0000 0.8701  5 Pt 2.45-2.54
Ce 0.0000 0.5000 0.7557  8 Pt 3.25-3.38, 6 Ge 3.25-3.48, 2 Mg 3.48
Pt 0.0000 0.0000 0.0000  4 Ge 2.54
Pt 0.0000 0.5000 0.3580  3 Ge 2.45-2.62, 2 Mg 2.62

Calculated values
DFT formation energy = -898 meV/atom

---

No. 9
The following is a PBE calculation of a relaxed LiCePrSn crystal, from Alexandria.

a = 5.4153 Å, b = 5.4153 Å, c = 5.4153 Å
α = 60.00°, β = 60.00°, γ = 60.00°
With the nearest neighbours (Å) after each atom.
Atoms (fractional coordinates):
Ce 0.0000 0.0000 0.0000  4 Sn 3.32, 4 Li 3.32
Sn 0.2500 0.2500 0.2500  4 Ce 3.32, 4 Pr 3.32
Pr 0.5000 0.5000 0.5000  4 Li 3.32, 4 Sn 3.32
Li 0.7500 0.7500 0.7500  4 Ce 3.32, 4 Pr 3.32

Calculated values
DFT formation energy = -325 meV/atom

---

No. 10
The following is a PBE calculation of a relaxed Mg4Si3 crystal, from Alexandria.

a = 5.7163 Å, b = 8.2922 Å, c = 6.9653 Å
α = 113.30°, β = 78.07°, γ = 111.78°
With the nearest neighbours (Å) after each atom.
Atoms (fractional coordinates):
Mg 0.4588 0.6004 0.5094  4 Si 2.76-2.89
Mg 0.9899 0.7747 0.7966  3 Si 2.69-2.80
Mg 0.9030 0.9218 0.3924  4 Si 2.71-2.96
Mg 0.0566 0.3959 0.7980  4 Si 2.66-2.93
Mg 0.9643 0.5298 0.2657  4 Si 2.64-2.89
Si 0.7403 0.9993 0.8160  2 Si 2.43-2.44, 2 Mg 2.68-2.69
Si 0.4074 0.7753 0.9490  2 Si 2.44
Si 0.7201 0.4124 0.5833  1 Si 2.47, 5 Mg 2.64-2.76
Si 0.1069 0.2025 0.0156  2 Si 2.38-2.43
Mg 0.5504 0.5200 0.0257  4 Si 2.79-2.94
Si 0.0483 0.2700 0.3836  2 Si 2.38-2.47, 1 Mg 2.66
Mg 0.4479 0.1164 0.6822  4 Si 2.64-2.75
Mg 0.4842 0.1553 0.2105  6 Si 2.84-2.98
Si 0.3719 0.8262 0.3220  1 Si 2.44, 2 Mg 2.64-2.68

Calculated values
formation energy (no corrections) = 45 meV/atom
E above lowest polymorph = 0.0771 eV per atom

---

no.,energy (eV/atom)
1,-6.25
2,-3.43
3,-3.60
4,-4.89
5,-3.15
6,-7.41
7,-6.45
8,-6.05
9,-4.48
10,-3.19